Computed, not measured: a relaxed CoCuBr2 crystal at the GGA-PBE level of DFT.

Results
- magnetic moment (μB/atom) = 0.5003
- ρ (Mg/m³) = 5.2
- uncorrected formation energy (kJ per mole of atoms) = 8.0

abc: 5.6890 5.6890 11.1952
angles: 90.00 90.00 90.00
Space group I-42d (No. 122)
One atom of each set of equivalent atoms:
Co (0.0000, 0.0000, 0.0000)
Cu (0.0000, 0.0000, 0.5000)
Br (0.2438, 0.2500, 0.1250)

***

Computed, not measured: a relaxed SmTm2Co crystal at the GGA-PBE level of DFT.

Results
- magnetic moment (μB/atom) = 0.0000
- energy of formation (kJ/mol of atoms) = -13.8
- ρ (Mg/m³) = 8.9

abc: 3.6217 12.0478 9.3146
angles: 90.00 90.00 90.00
Space group Cmcm (No. 63)
One atom of each set of equivalent atoms:
Sm (0.0000, 0.0814, 0.2500)
Tm (0.0000, 0.3574, 0.0723)
Co (0.0000, 0.2468, 0.7500)

***

Computed, not measured: a relaxed PrPbC2O6 crystal at the GGA-PBE level of DFT.

Results
- magnetic moment (μB/atom) = 0.0000
- ρ (Mg/m³) = 5.4
- uncorrected formation energy (kJ per mole of atoms) = -171.6

abc: 10.0139 8.8653 7.1949
angles: 90.00 114.96 90.00
Space group C2/c (No. 15)
One atom of each set of equivalent atoms:
Pr (0.0000, 0.0933, 0.2500)
Pb (0.0000, 0.4547, 0.7500)
C (0.2219, 0.1397, 0.7716)
O (0.0903, 0.1316, 0.6163)
O (0.1728, 0.2872, 0.2445)
O (0.2359, 0.0652, 0.9333)